VASP calculation (PBE) on a relaxed LaPmPt3 crystal.

Calculated values
Crystal system = orthorhombic
Formation energy from the elements = -1.066 eV/atom

Unit cell a=7.100 b=7.991 c=8.008 alpha=90.00 beta=90.00 gamma=90.00
Space group Pnnm (No. 58)
Unique sites:
La 0.213 0.137 0.000 x4
Pm 0.212 0.136 0.500 x4
Pt 0.000 0.500 0.243 x4
Pt 0.121 0.855 0.253 x8

=====

VASP calculation (PBE) on a relaxed LaPmPt crystal.

Calculated values
Crystal system = monoclinic
Formation energy from the elements = -0.727 eV/atom

Unit cell a=7.199 b=6.014 c=11.195 alpha=90.00 beta=128.86 gamma=90.00
Space group P2_1/c (No. 14)
Unique sites:
La 0.192 0.153 0.378 x4
Pm 0.326 0.622 0.633 x4
Pt 0.324 0.666 0.368 x4

=====

VASP calculation (PBE) on a relaxed LaPmPt2 crystal.

Calculated values
Crystal system = cubic
Formation energy from the elements = -1.066 eV/atom

Unit cell a=7.253 b=7.253 c=7.253 alpha=90.00 beta=90.00 gamma=90.00
Space group Fm-3m (No. 225)
Unique sites:
La 0.000 0.000 0.000 x4
Pm 0.000 0.000 0.500 x4
Pt 0.250 0.250 0.250 x8

=====

VASP calculation (PBE) on a relaxed La2PmPt crystal.

Calculated values
Crystal system = trigonal
Formation energy from the elements = -0.321 eV/atom

Unit cell a=3.9009 b=3.9009 c=32.1730 alpha=90.00 beta=90.00 gamma=120.00
Space group R-3m (No. 166, hexagonal axes)
Unique sites:
La 0.0000 0.0000 0.1096 x6
Pm 0.0000 0.0000 0.0000 x3
Pt 0.0000 0.0000 0.5000 x3

=====

- formation energy from the elements of number 3 (LaPmPt2)?
  -1.066 eV/atom

=====

Copy entry 1 word for word.
VASP calculation (PBE) on a relaxed LaPmPt3 crystal.

Calculated values
Crystal system = orthorhombic
Formation energy from the elements = -1.066 eV/atom

Unit cell a=7.100 b=7.991 c=8.008 alpha=90.00 beta=90.00 gamma=90.00
Space group Pnnm (No. 58)
Unique sites:
La 0.213 0.137 0.000 x4
Pm 0.212 0.136 0.500 x4
Pt 0.000 0.500 0.243 x4
Pt 0.121 0.855 0.253 x8

=====

- What is the formation energy from the elements in the fourth record?
  -0.321 eV/atom